[1]
VPOsCl2: optimized geometry, PBE.

```
VPOsCl2
1.0
-2.611 -1.983 3.031
2.940 -3.343 0.346
2.448 2.543 3.772
P Cl Os V
1 2 1 1
Direct
0.000 0.000 0.500
0.000 0.500 0.000
0.500 0.000 0.000
0.500 0.500 0.500
0.000 0.000 0.000
```

Output
SG: P4/mmm (123)
N(E_F) (states/eV/cell): 5.6


[2]
VP2OsCl: optimized geometry, PBE.

```
VP2OsCl
1.0
4.519 0.000 0.000
0.000 4.519 0.000
0.000 0.000 5.010
P Cl Os V
2 1 1 1
Direct
0.000 0.500 0.000
0.500 0.000 0.000
0.000 0.000 0.500
0.000 0.000 0.000
0.500 0.500 0.500
```

Output
SG: P4/mmm (123)
N(E_F) (states/eV/cell): 6.4


[3]
VP2OsCl: optimized geometry, PBE.

```
VP2OsCl
1.0
-3.967 2.347 0.272
-2.103 -3.264 -2.500
-1.023 -2.155 3.674
P Cl Os V
2 1 1 1
Direct
0.000 0.500 0.000
0.500 0.000 0.000
0.000 0.000 0.500
0.500 0.500 0.500
0.000 0.000 0.000
```

Output
SG: P4/mmm (123)
N(E_F) (states/eV/cell): 5.4


[4]
VPOsCl2: optimized geometry, PBE.

```
VPOsCl2
1.0
-2.676 -0.288 4.098
-2.029 -4.160 -1.617
3.269 -2.360 1.968
P Cl Os V
1 2 1 1
Direct
0.000 0.000 0.500
0.000 0.500 0.000
0.500 0.000 0.000
0.000 0.000 0.000
0.500 0.500 0.500
```

Output
SG: P4/mmm (123)
N(E_F) (states/eV/cell): 8.0


[5]
POsWCl2: optimized geometry, PBE.

```
POsWCl2
1.0
-4.731 -0.682 0.798
1.050 -3.180 3.504
0.029 3.372 3.052
P Os W Cl
1 1 1 2
Direct
0.000 0.000 0.500
0.000 0.000 0.000
0.500 0.500 0.500
0.000 0.500 0.000
0.500 0.000 0.000
```

Output
SG: P4/mmm (123)
N(E_F) (states/eV/cell): 4.2


[6]
POs2WCl: optimized geometry, PBE.

```
POs2WCl
1.0
-1.905 -0.916 4.316
-2.669 -3.130 -1.842
3.371 -3.334 0.780
P Os W Cl
1 2 1 1
Direct
0.500 0.500 0.500
0.000 0.000 0.500
0.500 0.000 0.000
0.000 0.000 0.000
0.000 0.500 0.000
```

Output
SG: P4/mmm (123)
N(E_F) (states/eV/cell): 4.2


[7]
POsWCl2: optimized geometry, PBE.

```
POsWCl2
1.0
4.619 0.000 0.000
0.000 4.619 0.000
0.000 0.000 4.967
P Os W Cl
1 1 1 2
Direct
0.000 0.000 0.500
0.500 0.500 0.500
0.000 0.000 0.000
0.000 0.500 0.000
0.500 0.000 0.000
```

Output
SG: P4/mmm (123)
N(E_F) (states/eV/cell): 6.0


[8]
P2OsWCl: optimized geometry, PBE.

```
P2OsWCl
1.0
4.739 0.000 0.000
0.000 4.739 0.000
0.000 0.000 4.574
P Os W Cl
2 1 1 1
Direct
0.000 0.500 0.000
0.500 0.000 0.000
0.500 0.500 0.500
0.000 0.000 0.000
0.000 0.000 0.500
```

Output
SG: P4/mmm (123)
N(E_F) (states/eV/cell): 5.3


[9]
P2OsWCl: optimized geometry, PBE.

```
P2OsWCl
1.0
4.540 0.000 0.000
0.000 4.540 0.000
0.000 0.000 4.893
P Os W Cl
2 1 1 1
Direct
0.000 0.500 0.000
0.500 0.000 0.000
0.000 0.000 0.000
0.500 0.500 0.500
0.000 0.000 0.500
```

Output
SG: P4/mmm (123)
N(E_F) (states/eV/cell): 3.9


[10]
YPOsCl2: optimized geometry, PBE.

```
YPOsCl2
1.0
-3.291 3.566 -1.362
-3.788 -3.274 0.581
-0.543 1.610 5.530
Y P Os Cl
1 1 1 2
Direct
0.000 0.000 0.000
0.000 0.000 0.500
0.500 0.500 0.500
0.000 0.500 0.000
0.500 0.000 0.000
```

Output
SG: P4/mmm (123)
N(E_F) (states/eV/cell): 5.5


[11]
YPOsCl2: optimized geometry, PBE.

```
YPOsCl2
1.0
4.793 0.000 0.000
0.000 4.793 0.000
0.000 0.000 4.639
Y P Os Cl
1 1 1 2
Direct
0.500 0.500 0.500
0.000 0.000 0.500
0.000 0.000 0.000
0.000 0.500 0.000
0.500 0.000 0.000
```

Output
SG: P4/mmm (123)
N(E_F) (states/eV/cell): 4.5


[12]
ZnP2OsCl: optimized geometry, PBE.

```
ZnP2OsCl
1.0
4.532 0.000 0.000
0.000 4.532 0.000
0.000 0.000 5.196
P Zn Os Cl
2 1 1 1
Direct
0.000 0.500 0.000
0.500 0.000 0.000
0.500 0.500 0.500
0.000 0.000 0.000
0.000 0.000 0.500
```

Output
SG: P4/mmm (123)
N(E_F) (states/eV/cell): 4.2


[13]
ZnP2OsCl: optimized geometry, PBE.

```
ZnP2OsCl
1.0
4.470 0.000 0.000
0.000 4.470 0.000
0.000 0.000 4.629
P Zn Os Cl
2 1 1 1
Direct
0.000 0.500 0.000
0.500 0.000 0.000
0.000 0.000 0.000
0.500 0.500 0.500
0.000 0.000 0.500
```

Output
SG: P4/mmm (123)
N(E_F) (states/eV/cell): 4.5


[14]
ZnPOsCl2: optimized geometry, PBE.

```
ZnPOsCl2
1.0
4.941 0.000 0.000
0.000 4.941 0.000
0.000 0.000 4.521
P Zn Os Cl
1 1 1 2
Direct
0.000 0.000 0.500
0.500 0.500 0.500
0.000 0.000 0.000
0.000 0.500 0.000
0.500 0.000 0.000
```

Output
SG: P4/mmm (123)
N(E_F) (states/eV/cell): 4.7


[15]
ZnPOsCl2: optimized geometry, PBE.

```
ZnPOsCl2
1.0
-2.532 2.054 3.080
2.083 -2.294 3.242
3.699 3.942 0.412
P Zn Os Cl
1 1 1 2
Direct
0.000 0.000 0.500
0.000 0.000 0.000
0.500 0.500 0.500
0.000 0.500 0.000
0.500 0.000 0.000
```

Output
SG: P4/mmm (123)
N(E_F) (states/eV/cell): 3.6


[16]
Os2PbCl: optimized geometry, PBE.

```
Os2PbCl
1.0
-3.827 -0.009 2.666
-3.356 -3.152 -0.748
-0.694 -3.441 3.071
Cl Os Pb
1 2 1
Direct
0.500 0.500 0.500
0.000 0.000 0.000
0.750 0.750 0.750
0.250 0.250 0.250
```

Output
SG: F-43m (216)
N(E_F) (states/eV/cell): 2.9


[17]
OsPb2Cl: optimized geometry, PBE.

```
OsPb2Cl
1.0
-1.070 -1.857 -6.588
4.250 -2.563 -4.834
-2.215 -0.412 6.552
Cl Os Pb
1 1 2
Direct
0.500 0.500 0.000
0.750 0.250 0.500
0.000 0.000 0.000
0.250 0.750 0.500
```

Output
SG: I-4m2 (119)
N(E_F) (states/eV/cell): 2.6


[18]
OsPbCl3: optimized geometry, PBE.

```
OsPbCl3
1.0
4.839 0.000 0.000
0.000 4.839 0.000
0.000 0.000 4.839
Pb Os Cl
1 1 3
Direct
0.500 0.500 0.500
0.000 0.000 0.000
0.000 0.500 0.000
0.000 0.000 0.500
0.500 0.000 0.000
```

Output
SG: Pm-3m (221)
N(E_F) (states/eV/cell): 3.3


[19]
OsPb2Cl: optimized geometry, PBE.

```
OsPb2Cl
1.0
-1.552 5.780 4.592
-2.684 -2.000 -4.455
-2.575 -1.432 1.196
Cl Os Pb
1 1 2
Direct
0.000 0.500 0.500
0.500 0.500 0.000
0.000 0.000 0.000
0.500 0.000 0.500
```

Output
SG: C2/m (12)
N(E_F) (states/eV/cell): 1.6


[20]
OsPb2Cl: optimized geometry, PBE.

```
OsPb2Cl
1.0
-3.982 2.551 1.765
-2.234 -1.458 4.285
0.451 2.815 4.166
Cl Os Pb
1 1 2
Direct
0.500 0.500 0.500
0.750 0.750 0.750
0.000 0.000 0.000
0.250 0.250 0.250
```

Output
SG: F-43m (216)
N(E_F) (states/eV/cell): 1.8


Total moment in μB/cell, matching the order above: 1.59; 0.00; 3.48; 0.27; 4.44; 0.00; 3.52; 3.01; 3.80; 3.83; 0.00; 0.00; 0.01; 0.00; 3.57; 0.00; 0.61; 0.00; 0.72; 0.85
E_tot in eV per atom, matching the order above: -4.95; -5.60; -5.51; -4.90; -5.19; -6.56; -5.25; -5.93; -5.94; -4.90; -5.41; -4.54; -3.49; -3.94; -3.18; -5.70; -4.38; -3.91; -4.74; -4.23
Formation energy (no corrections) in eV/f.u., matching the order above: 4.7; 5.0; 5.5; 5.0; 7.3; 9.9; 7.1; 7.2; 7.1; 2.3; -0.2; 2.5; 7.7; 1.9; 5.7; 5.2; 3.0; 0.9; 1.5; 3.6